1.
CeNd3Tl2, optimized geometry, DFT GGA-PBE; ρ = 8.998 g/cm3; total DFT energy (no corrections) = -4.3734 eV per atom; symmetry = P2/m, No. 10
1.0
5.566 0.000 0.000
0.000 3.732 0.000
-2.769 0.000 8.719
Ce Nd Tl
1 3 2
Direct
0.000 0.000 0.000 Ce
0.176 0.500 0.351 Nd
0.500 0.500 0.000 Nd
0.824 0.500 0.649 Nd
0.344 0.000 0.689 Tl
0.656 0.000 0.311 Tl



2.
AlTcAu2, optimized geometry, DFT GGA-PBE; ρ = 13.197 g/cm3; total DFT energy (no corrections) = -5.1162 eV per atom; symmetry = Imm2, No. 44
1.0
-1.432 2.404 4.741
1.432 -2.404 4.741
1.432 2.404 -4.741
Al Tc Au
1 1 2
Direct
0.000 0.000 0.000 Al
0.770 0.270 0.500 Tc
0.232 0.732 0.500 Au
0.502 0.502 0.000 Au



3.
CsLi3Se, optimized geometry, DFT GGA-PBE; ρ = 2.573 g/cm3; total DFT energy (no corrections) = -2.4351 eV per atom; relative energy among the computed polymorphs = 0.00 kJ per mole of atoms; formation energy from raw total energies = -0.42 eV per atom; symmetry = Pm-3m, No. 221
1.0
5.315 0.000 0.000
0.000 5.315 0.000
0.000 0.000 5.315
Cs Li Se
1 3 1
Direct
0.000 0.000 0.000 Cs
0.000 0.500 0.500 Li
0.500 0.000 0.500 Li
0.500 0.500 0.000 Li
0.500 0.500 0.500 Se